No. 1
An optimized crystal structure of BaTa2, computed with GGA-PBEsol.

Computed properties:
Energy of formation (meV/atom): 1267
Magnetization (μB/f.u.): 0.00
Theoretical density (g/cm³): 11.7

Cell: 5.143 5.143 3.091 Å, 90.00 90.00 120.00°
Sites, in units of the cell vectors:
Ba: 0.000 0.000 0.000
Ta: 0.333 0.667 0.500
Ta: 0.667 0.333 0.500

No. 2
An optimized crystal structure of Y4C4I3Br, computed with GGA-PBEsol.

Computed properties:
Magnetization (μB/f.u.): 0.00
Uncorrected formation energy (meV/atom): -948.9
Theoretical density (g/cm³): 5.1

Cell: 4.041 4.041 20.840 Å, 93.28 93.28 56.35°
Sites, in units of the cell vectors:
Y: 0.000 0.000 0.000
Y: 0.004 0.004 0.507
Y: 0.716 0.716 0.866
Y: 0.720 0.720 0.374
C: 0.281 0.281 0.949
C: 0.285 0.285 0.457
C: 0.435 0.435 0.917
C: 0.439 0.439 0.424
I: 0.038 0.038 0.274
I: 0.682 0.682 0.100
I: 0.687 0.687 0.608
Br: 0.041 0.041 0.778

No. 3
An optimized crystal structure of MgAsCl2, computed with GGA-PBEsol.

Computed properties:
Magnetization (μB/f.u.): 0.00
Uncorrected formation energy (meV/atom): -218.4
Energy above the lowest structure with this stoichiometry (eV per atom): 0.4604
Theoretical density (g/cm³): 3.6

Cell: 4.419 4.419 4.010 Å, 90.00 90.00 90.00°
Sites, in units of the cell vectors:
Mg: 0.000 0.000 0.000
As: 0.500 0.500 0.000
Cl: 0.000 0.500 0.500
Cl: 0.500 0.000 0.500

No. 4
An optimized crystal structure of ZrSi2SeO, computed with GGA-PBEsol.

Computed properties:
Magnetization (μB/f.u.): 1.44
Uncorrected formation energy (meV/atom): 937.7
Theoretical density (g/cm³): 3.1

Cell: 5.132 5.132 4.975 Å, 90.00 90.00 90.00°
Sites, in units of the cell vectors:
Zr: 0.000 0.000 0.000
Si: 0.000 0.500 0.000
Si: 0.500 0.000 0.000
Se: 0.000 0.000 0.500
O: 0.500 0.500 0.500

No. 5
An optimized crystal structure of ScSi2HCl, computed with GGA-PBEsol.

Computed properties:
Magnetization (μB/f.u.): 0.00
Raw total energy (eV for the cell shown): -21.851
Theoretical density (g/cm³): 2.8

Cell: 5.100 5.100 3.099 Å, 90.00 90.00 90.00°
Sites, in units of the cell vectors:
Sc: 0.000 0.000 0.000
Si: 0.000 0.500 0.500
Si: 0.500 0.000 0.500
H: 0.500 0.500 0.000
Cl: 0.500 0.500 0.500

No. 6
An optimized crystal structure of Tc2AgW, computed with GGA-PBEsol.

Computed properties:
Energy of formation (meV/atom): 337
Magnetization (μB/f.u.): 0.00
Energy above the lowest structure with this stoichiometry (eV per atom): 0.0000
Theoretical density (g/cm³): 13.4

Cell: 9.337 9.337 9.337 Å, 16.99 16.99 16.99°
Sites, in units of the cell vectors:
Tc: 0.246 0.246 0.246
Tc: 0.754 0.754 0.754
Ag: 0.000 0.000 0.000
W: 0.500 0.500 0.500